Record 1
Compound: CuBiPF
Source: the Open Quantum Materials Database
Functional: GGA-PBE
Structure: relaxed

- excess energy over the best structure of this formula in the dataset (meV per atom) = 346.4
- SG = Cmcm, No. 63
- total DFT energy (no corrections) (eV/atom) = -4.143

Cell: 5.9416 5.9416 5.9818 Å, 90.00 90.00 138.44°
Last column: nearest neighbours and their distance in Å.
Atoms (fractional coordinates):
Bi 0.5971 0.4029 0.2500  4 Cu 2.80, 1 P 2.81
Bi 0.4029 0.5971 0.7500  4 Cu 2.80, 1 P 2.81
Cu 0.0000 0.0000 0.0000  2 P 2.24
Cu 0.0000 0.0000 0.5000  2 P 2.24
F 0.3133 0.6867 0.2500  2 P 2.15
F 0.6867 0.3133 0.7500  2 P 2.15
P 0.8497 0.1503 0.2500  2 F 2.15, 2 Cu 2.24
P 0.1503 0.8497 0.7500  2 F 2.15, 2 Cu 2.24

Record 2
Compound: CsHfB
Source: the Open Quantum Materials Database
Functional: GGA-PBE
Structure: relaxed

- M_tot (Bohr magnetons per cell) = 0.000
- excess energy over the best structure of this formula in the dataset (meV per atom) = 0.0
- SG = F-43m, No. 216
- total DFT energy (no corrections) (eV/atom) = -3.958

Cell: 4.6737 4.6737 4.6737 Å, 60.00 60.00 60.00°
Last column: nearest neighbours and their distance in Å.
Atoms (fractional coordinates):
B 0.0000 0.0000 0.0000  4 Hf 2.86, 4 Cs 2.86
Cs 0.2500 0.2500 0.2500  4 B 2.86
Hf 0.7500 0.7500 0.7500  4 B 2.86

Record 3
Compound: RbOs
Source: the Open Quantum Materials Database
Functional: GGA-PBE
Structure: relaxed

- M_tot (Bohr magnetons per cell) = 0.011
- excess energy over the best structure of this formula in the dataset (meV per atom) = 255.0
- SG = P-6m2, No. 187
- total DFT energy (no corrections) (eV/atom) = -4.377

Cell: 2.8744 2.8744 6.0012 Å, 90.00 90.00 120.00°
Last column: nearest neighbours and their distance in Å.
Atoms (fractional coordinates):
Os 0.6667 0.3333 0.7500  6 Os 2.87
Rb 0.3333 0.6667 0.2500  6 Rb 2.87

Record 4
Compound: HoErSnCl2
Source: the Open Quantum Materials Database
Functional: GGA-PBE
Structure: relaxed

- M_tot (Bohr magnetons per cell) = 0.001
- SG = P3m1, No. 156
- total DFT energy (no corrections) (eV/atom) = -4.814

Cell: 4.1473 4.1473 9.8660 Å, 90.00 90.00 120.00°
Last column: nearest neighbours and their distance in Å.
Atoms (fractional coordinates):
Cl 0.0000 0.0000 0.1681  3 Er 2.82
Cl 0.3333 0.6667 0.8329  3 Ho 2.82
Er 0.3333 0.6667 0.3184  3 Cl 2.82, 3 Sn 2.99
Ho 0.0000 0.0000 0.6815  3 Cl 2.82, 3 Sn 2.99
Sn 0.6667 0.3333 0.4991  3 Er 2.99, 3 Ho 2.99

Record 5
Compound: CdInCuNi
Source: the Open Quantum Materials Database
Functional: GGA-PBE
Structure: relaxed

- M_tot (Bohr magnetons per cell) = 0.001
- excess energy over the best structure of this formula in the dataset (meV per atom) = 0.0
- SG = F-43m, No. 216
- total DFT energy (no corrections) (eV/atom) = -3.231

Cell: 4.4773 4.4773 4.4773 Å, 60.00 60.00 60.00°
Last column: nearest neighbours and their distance in Å.
Atoms (fractional coordinates):
Cd 0.5000 0.5000 0.5000  4 Cu 2.74, 4 Ni 2.74
Cu 0.7500 0.7500 0.7500  4 Cd 2.74, 4 In 2.74
In 0.0000 0.0000 0.0000  4 Cu 2.74, 4 Ni 2.74
Ni 0.2500 0.2500 0.2500  4 Cd 2.74, 4 In 2.74

Record 6
Compound: Li2MgScSi2Pd2
Source: the Open Quantum Materials Database
Functional: GGA-PBE
Structure: relaxed

- M_tot (Bohr magnetons per cell) = 0.002
- SG = P-4m2, No. 115
- total DFT energy (no corrections) (eV/atom) = -4.734

Cell: 4.3640 4.3640 6.1939 Å, 90.00 90.00 90.00°
Last column: nearest neighbours and their distance in Å.
Atoms (fractional coordinates):
Li 0.5000 0.0000 0.2353  4 Si 2.62-2.73, 2 Mg 2.62, 2 Sc 2.73
Li 0.0000 0.5000 0.7647  4 Si 2.62-2.73, 2 Mg 2.62, 2 Sc 2.73
Mg 0.0000 0.0000 0.0000  4 Li 2.62, 4 Pd 2.67
Pd 0.0000 0.5000 0.2486  4 Si 2.67-2.68, 2 Mg 2.67, 2 Sc 2.68
Pd 0.5000 0.0000 0.7514  4 Si 2.67-2.68, 2 Mg 2.67, 2 Sc 2.68
Sc 0.5000 0.5000 0.5000  4 Pd 2.68, 4 Li 2.73
Si 0.5000 0.5000 0.0000  4 Li 2.62, 4 Pd 2.67
Si 0.0000 0.0000 0.5000  4 Pd 2.68, 4 Li 2.73